1.
A relaxed structure of Ta2MoPt, computed with PBE.

The calculation puts the calculated volume at 16.80 Å³ per atom. The value obtained for the total energy is -83.626 eV/cell. The calculation puts the formation energy from the elements at -0.309 eV per atom.

The space group is Cmmm (No. 65) and the conventional cell measures 3.443, 4.431 and 8.809 Å, with angles of 90.00, 90.00 and 90.00 degrees. The asymmetric unit holds Ta at (0.000, 0.000, 0.246), Mo at (0.000, 0.500, 0.500) and Pt at (0.000, 0.500, 0.000).

---

2.
A relaxed structure of AlCdFe2, computed with PBE.

The calculation puts the calculated volume at 14.63 Å³ per atom. The offset from the most stable computed form comes out at 0.064 eV/atom. The value obtained for the total energy is -42.260 eV/cell. The calculation puts the formation energy from the elements at 0.113 eV per atom.

The space group is Imm2 (No. 44) and the conventional cell measures 3.118, 4.346 and 8.639 Å, with angles of 90.00, 90.00 and 90.00 degrees. The asymmetric unit holds Al at (0.000, 0.000, 0.000), Cd at (0.000, 0.500, 0.774), Fe at (0.000, 0.000, 0.540) and Fe at (0.000, 0.500, 0.247).

---

3.
A relaxed structure of Y3AgTe, computed with PBE.

The calculation puts the calculated volume at 33.58 Å³ per atom. The offset from the most stable computed form comes out at 0.000 eV/atom. The value obtained for the total energy is -25.875 eV/cell. Its formation energy (no corrections) is -0.10 eV per atom.

The space group is Pm-3m (No. 221) and the conventional cell measures 5.517, 5.517 and 5.517 Å, with angles of 90.00, 90.00 and 90.00 degrees. The asymmetric unit holds Y at (0.000, 0.000, 0.500), Ag at (0.000, 0.000, 0.000) and Te at (0.500, 0.500, 0.500).

---

4.
A relaxed structure of Ac6Ir3I2, computed with PBE.

The calculation puts the calculated volume at 39.56 Å³ per atom. The value obtained for the total energy is -128.502 eV/cell. Its formation energy (no corrections) is -0.90 eV per atom.

The space group is C2/m (No. 12) and the conventional cell measures 7.623, 13.223 and 9.005 Å, with angles of 90.00, 106.51 and 90.00 degrees. The asymmetric unit holds Ac at (0.227, 0.167, 0.181), Ac at (0.228, 0.500, 0.180), Ir at (0.000, 0.000, 0.000), Ir at (0.000, 0.331, 0.000) and I at (0.000, 0.166, 0.500).

---

5.
A relaxed structure of TlIr3Se, computed with PBE.

The calculation puts the calculated volume at 24.84 Å³ per atom. The offset from the most stable computed form comes out at 1.310 eV/atom. The value obtained for the total energy is -20.044 eV/cell. Its formation energy (no corrections) is 2.48 eV per atom.

The space group is Pm-3m (No. 221) and the conventional cell measures 4.989, 4.989 and 4.989 Å, with angles of 90.00, 90.00 and 90.00 degrees. The asymmetric unit holds Tl at (0.000, 0.000, 0.000), Ir at (0.000, 0.000, 0.500) and Se at (0.500, 0.500, 0.500).

---

6.
A relaxed structure of Pr5Nd3Sm, computed with PBE.

The calculation puts the calculated volume at 36.65 Å³ per atom. The offset from the most stable computed form comes out at 0.000 eV/atom. The value obtained for the total energy is -162.671 eV/cell. The calculation puts the formation energy from the elements at 0.250 eV per atom.

The space group is C2/c (No. 15) and the conventional cell measures 20.837, 6.344 and 11.793 Å, with angles of 90.00, 122.20 and 90.00 degrees. The asymmetric unit holds Pr at (0.000, 0.077, 0.250), Pr at (0.141, 0.187, 0.653), Pr at (0.178, 0.301, 0.336), Nd at (0.000, 0.500, 0.000), Nd at (0.177, 0.268, 0.026) and Sm at (0.000, 0.406, 0.750).

---

7.
A relaxed structure of LiPm2PuAu4, computed with PBE.

The calculation puts the calculated volume at 23.39 Å³ per atom. The value obtained for the total energy is -131.535 eV/cell. The calculation puts the formation energy from the elements at -0.624 eV per atom.

The space group is R-3m (No. 166, hexagonal axes) and the conventional cell measures 5.1116, 5.1116 and 24.8071 Å, with angles of 90.00, 90.00 and 120.00 degrees. The asymmetric unit holds Li at (0.0000, 0.0000, 0.0000), Pm at (0.0000, 0.0000, 0.2550), Pu at (0.0000, 0.0000, 0.5000), Au at (0.0000, 0.0000, 0.1243) and Au at (0.0000, 0.0000, 0.3771).

---

8.
A relaxed structure of NiOsIN2, computed with PBE.

The calculation puts the calculated volume at 17.09 Å³ per atom. The offset from the most stable computed form comes out at 0.000 eV/atom. The value obtained for the total energy is -30.725 eV/cell. Its formation energy (no corrections) is 0.90 eV per atom.

The space group is P4/mmm (No. 123) and the conventional cell measures 3.764, 3.764 and 6.033 Å, with angles of 90.00, 90.00 and 90.00 degrees. The asymmetric unit holds Ni at (0.000, 0.000, 0.000), Os at (0.500, 0.500, 0.500), I at (0.500, 0.500, 0.000) and N at (0.000, 0.500, 0.500).

---

9.
A relaxed structure of KGa4Pb, computed with PBE.

The calculation puts the calculated volume at 24.17 Å³ per atom. The value obtained for the total energy is -67.629 eV/cell. The calculation puts the formation energy from the elements at 0.001 eV per atom.

The space group is F-43m (No. 216) and the conventional cell measures 8.340, 8.340 and 8.340 Å, with angles of 90.00, 90.00 and 90.00 degrees. The asymmetric unit holds K at (0.000, 0.000, 0.000), Ga at (0.125, 0.125, 0.375) and Pb at (0.250, 0.250, 0.750).

---

10.
A relaxed structure of LiPmZn4, computed with PBE.

The calculation puts the calculated volume at 18.48 Å³ per atom. The offset from the most stable computed form comes out at 0.060 eV/atom. The value obtained for the total energy is -51.253 eV/cell. The calculation puts the formation energy from the elements at -0.175 eV per atom.

The space group is Cmcm (No. 63) and the conventional cell measures 4.131, 16.085 and 6.676 Å, with angles of 90.00, 90.00 and 90.00 degrees. The asymmetric unit holds Li at (0.000, 0.233, 0.250), Pm at (0.000, 0.114, 0.750), Zn at (0.000, 0.075, 0.250), Zn at (0.000, 0.331, 0.559) and Zn at (0.000, 0.500, 0.000).

---

11.
A relaxed structure of Dy5Tl2Te, computed with PBE.

The calculation puts the calculated volume at 28.25 Å³ per atom. The offset from the most stable computed form comes out at 0.149 eV/atom. The value obtained for the total energy is -67.466 eV/cell. Its formation energy (no corrections) is -0.36 eV per atom.

The space group is I4mm (No. 107) and the conventional cell measures 7.608, 7.608 and 7.810 Å, with angles of 90.00, 90.00 and 90.00 degrees. The asymmetric unit holds Dy at (0.000, 0.000, 0.000), Dy at (0.235, 0.235, 0.708), Tl at (0.000, 0.500, 0.473) and Te at (0.000, 0.000, 0.397).

---

12.
A relaxed structure of KCu4I7, computed with PBE.

The calculation puts the calculated volume at 36.22 Å³ per atom. The value obtained for the total energy is -65.341 eV/cell. Its formation energy (no corrections) is -0.36 eV per atom.

The space group is Pmn2_1 (No. 31) and the conventional cell measures 17.090, 7.200 and 7.064 Å, with angles of 90.00, 90.00 and 90.00 degrees. The asymmetric unit holds K at (0.000, 0.117, 0.000), Cu at (0.123, 0.666, 0.720), Cu at (0.250, 0.168, 0.713), I at (0.000, 0.826, 0.580), I at (0.121, 0.323, 0.611), I at (0.121, 0.691, 0.086) and I at (0.248, 0.828, 0.584).